First-principles (PBE) data for a relaxed structure of BiPIO2, as listed in the Alexandria database.

Cell lengths 4.122, 4.122, 5.659 Å; angles 90.00, 90.00, 90.00 degrees
Each line ends with the local moment (μB).
Element x y z (fractional)
1 O 0.500 0.000 0.000  0.01
2 O 0.000 0.500 0.000  0.01
3 I 0.000 0.000 0.000  0.00
4 P 0.000 0.000 0.500  -0.01
5 Bi 0.500 0.500 0.500  0.06

Summary:
Uncorrected formation energy = 0.23 eV per atom
Energy relative to the lowest polymorph listed for this composition = 225 meV/atom
E = -3.92 eV per atom
Total moment = 0.09 Bohr magnetons per cell


First-principles (PBE) data for a relaxed structure of LaNb7O19, as listed in the Alexandria database.

Cell lengths 6.342, 6.342, 20.374 Å; angles 90.00, 90.00, 120.00 degrees
Element x y z (fractional)
1 O 0.000 0.757 0.500
2 O 0.589 0.622 0.403
3 O 0.379 0.949 0.791
4 O 0.245 0.245 0.693
5 O 0.000 0.755 0.693
6 O 0.333 0.667 0.285
7 O 0.242 0.000 0.000
8 O 0.000 0.755 0.307
9 O 0.438 0.382 0.094
10 O 0.056 0.618 0.906
11 O 0.758 0.758 0.000
12 O 0.755 0.000 0.307
13 O 0.757 0.000 0.500
14 O 0.382 0.438 0.906
15 O 0.429 0.051 0.209
16 O 0.618 0.056 0.094
17 O 0.944 0.562 0.094
18 O 0.667 0.333 0.977
19 O 0.333 0.667 0.511
20 O 0.243 0.243 0.500
21 O 0.967 0.378 0.597
22 O 0.378 0.967 0.403
23 O 0.245 0.245 0.307
24 O 0.571 0.621 0.791
25 O 0.622 0.589 0.597
26 O 0.051 0.429 0.791
27 O 0.033 0.411 0.403
28 O 0.333 0.667 0.683
29 O 0.667 0.333 0.715
30 O 0.949 0.379 0.209
31 O 0.621 0.571 0.209
32 O 0.667 0.333 0.489
33 O 0.667 0.333 0.317
34 O 0.000 0.242 0.000
35 O 0.562 0.944 0.906
36 O 0.333 0.667 0.023
37 O 0.411 0.033 0.597
38 O 0.755 0.000 0.693
39 Nb 0.355 0.355 0.000
40 Nb 0.645 0.000 0.000
41 Nb 0.358 0.999 0.312
42 Nb 0.001 0.359 0.312
43 Nb 0.999 0.358 0.688
44 Nb 0.641 0.642 0.312
45 Nb 0.359 0.000 0.500
46 Nb 0.333 0.667 0.842
47 Nb 0.641 0.641 0.500
48 Nb 0.667 0.333 0.158
49 Nb 0.642 0.641 0.688
50 Nb 0.000 0.645 0.000
51 Nb 0.359 0.001 0.688
52 Nb 0.000 0.359 0.500
53 La 0.333 0.667 0.153
54 La 0.667 0.333 0.847

Summary:
Uncorrected formation energy = -2.65 eV per atom
E = -8.94 eV per atom
Total moment = 0.00 Bohr magnetons per cell


First-principles (PBE) data for a relaxed structure of Be2NiBr, as listed in the Alexandria database.

Cell lengths 3.007, 3.007, 5.800 Å; angles 90.00, 90.00, 90.00 degrees
Element x y z (fractional)
1 Br 0.500 0.500 0.250
2 Ni 0.500 0.500 0.750
3 Be 0.000 0.000 0.926
4 Be 0.000 0.000 0.574

Summary:
Uncorrected formation energy = 0.28 eV per atom
Energy relative to the lowest polymorph listed for this composition = 213 meV/atom
E = -3.45 eV per atom
Total moment = 0.00 Bohr magnetons per cell


First-principles (PBE) data for a relaxed structure of KSbBr2, as listed in the Alexandria database.

Cell lengths 6.034, 6.034, 10.140 Å; angles 72.69, 72.69, 90.00 degrees
Element x y z (fractional)
1 K 0.250 0.750 0.500
2 K 0.500 0.500 0.000
3 Br 0.875 0.939 0.750
4 Br 0.061 0.625 0.250
5 Br 0.375 0.311 0.750
6 Br 0.689 0.125 0.250
7 Sb 0.000 0.000 0.000
8 Sb 0.750 0.250 0.500

Summary:
Uncorrected formation energy = -0.60 eV per atom
Energy relative to the lowest polymorph listed for this composition = 178 meV/atom
E = -2.74 eV per atom
Total moment = 0.00 Bohr magnetons per cell


First-principles (PBE) data for a relaxed structure of SrLaGa, as listed in the Alexandria database.

Cell lengths 5.493, 3.747, 10.109 Å; angles 100.63, 95.10, 90.03 degrees
Element x y z (fractional)
1 Ga 0.674 0.083 0.763
2 Ga 0.326 0.973 0.542
3 Sr 0.270 0.334 0.265
4 Sr 0.731 0.722 0.040
5 La 0.807 0.460 0.514
6 La 0.194 0.595 0.791

Summary:
Energy of formation from the pure elements = -0.279 eV/atom
Energy relative to the lowest polymorph listed for this composition = 91 meV/atom
E = -3.49 eV per atom
Total moment = 0.00 Bohr magnetons per cell


First-principles (PBE) data for a relaxed structure of Dy3InAg4, as listed in the Alexandria database.

Cell lengths 3.394, 9.377, 7.922 Å; angles 126.29, 102.37, 90.00 degrees
Element x y z (fractional)
1 Ag 0.625 0.861 0.250
2 Ag 0.625 0.389 0.250
3 Ag 0.375 0.139 0.750
4 Ag 0.375 0.611 0.750
5 In 0.500 0.000 0.000
6 Dy 0.782 0.782 0.565
7 Dy 0.000 0.500 0.000
8 Dy 0.218 0.218 0.435

Summary:
Energy of formation from the pure elements = -0.133 eV/atom
E = -3.63 eV per atom
Total moment = 0.00 Bohr magnetons per cell


| no. | ρ (g cm⁻³) |
| --- | --- |
| 1 | 6.89 |
| 2 | 5.12 |
| 3 | 4.96 |
| 4 | 3.18 |
| 5 | 4.83 |
| 6 | 8.76 |